First-principles (SCAN) data for a PBEsol-optimized structure of Sr2BiAu2, as listed in the Alexandria database.

Values from the calculation:
- Formation energy from the elements: -0.902 eV/atom
- DOS(E_F): 5.3 states/eV per cell
- Offset from the most stable computed form: 0 meV/atom
- SG: P4/mbm

Structure (CIF):
```
data_Sr2BiAu2
_symmetry_space_group_name_H-M 'P 1'
_symmetry_Int_Tables_number 1
_cell_length_a 3.9315
_cell_length_b 8.3535
_cell_length_c 8.3535
_cell_angle_alpha 90.00
_cell_angle_beta 90.00
_cell_angle_gamma 90.00
loop_
_symmetry_equiv_pos_as_xyz
'x,y,z'
loop_
_atom_site_label
_atom_site_fract_x
_atom_site_fract_y
_atom_site_fract_z
Au1 0.0000 0.1175 0.3825
Au2 0.0000 0.6175 0.1175
Au3 0.0000 0.8825 0.6175
Au4 0.0000 0.3825 0.8825
Bi1 0.0000 0.5000 0.5000
Bi2 0.0000 0.0000 0.0000
Sr1 0.5000 0.1775 0.6775
Sr2 0.5000 0.8225 0.3225
Sr3 0.5000 0.3225 0.1775
Sr4 0.5000 0.6775 0.8225
```